Entry 1:
The following is a DFT calculation (GGA-PBE) of a relaxed structure of Er2Zn3GaNi2.

Properties
**Calculated total energy**: -30.989 eV per formula unit
**Space-group type**: No. 8

abc: 5.119 5.119 7.100
angles: 90.29 90.29 46.63
Atoms (fractional coordinates):
Ni  0.217  0.217  0.744
Ni  0.779  0.779  0.254
Er  0.933  0.933  0.754
Er  0.067  0.067  0.250
Ga  0.647  0.647  0.555
Zn  0.353  0.353  0.054
Zn  0.357  0.357  0.443
Zn  0.647  0.647  0.947



Entry 2:
The following is a DFT calculation (GGA-PBE) of a relaxed structure of DyHoCd2In.

Properties
**Calculated total energy**: -15.453 eV per formula unit
**Space-group type**: No. 38

abc: 3.435 7.950 7.950
angles: 34.89 90.00 90.00
Atoms (fractional coordinates):
Cd  0.500  0.200  0.200
Cd  0.500  0.801  0.801
Ho  0.000  0.387  0.387
Dy  0.000  0.613  0.613
In  0.500  0.000  0.000



Entry 3:
The following is a DFT calculation (GGA-PBE) of a relaxed structure of Pa2Al3Zn.

Properties
**Calculated total energy**: -33.101 eV per formula unit
**Space-group type**: No. 194

abc: 5.595 5.595 8.585
angles: 90.00 90.00 120.00
Atoms (fractional coordinates):
Al  0.828  0.656  0.750
Al  0.656  0.828  0.250
Al  0.344  0.172  0.750
Al  0.828  0.172  0.750
Al  0.172  0.828  0.250
Al  0.172  0.344  0.250
Pa  0.667  0.333  0.413
Pa  0.333  0.667  0.913
Pa  0.667  0.333  0.087
Pa  0.333  0.667  0.587
Zn  0.000  0.000  0.500
Zn  0.000  0.000  0.000



Entry 4:
The following is a DFT calculation (GGA-PBE) of a relaxed structure of Tb2Co17.

Properties
**Calculated total energy**: -131.857 eV per formula unit
**Space-group type**: No. 166

abc: 6.239 6.239 6.239
angles: 96.90 83.10 96.90
Atoms (fractional coordinates):
Co  0.000  0.288  0.288
Co  0.653  0.347  0.150
Co  0.000  0.712  0.712
Co  0.288  0.288  0.000
Co  0.097  0.903  0.097
Co  0.500  0.000  0.000
Co  0.347  0.150  0.347
Co  0.653  0.850  0.653
Co  0.000  0.500  0.000
Co  0.347  0.653  0.850
Co  0.000  0.000  0.500
Co  0.712  0.000  0.288
Co  0.850  0.653  0.347
Co  0.288  0.000  0.712
Co  0.712  0.712  0.000
Co  0.150  0.347  0.653
Co  0.903  0.097  0.903
Tb  0.344  0.656  0.344
Tb  0.656  0.344  0.656



Entry 5:
The following is a DFT calculation (GGA-PBE) of a relaxed structure of YPuIn.

Properties
**Calculated total energy**: -23.015 eV per formula unit
**Space-group type**: No. 216

abc: 5.212 5.212 5.212
angles: 60.00 60.00 60.00
Atoms (fractional coordinates):
Y  0.750  0.750  0.750
In  0.000  0.000  0.000
Pu  0.250  0.250  0.250



Entry 6:
The following is a DFT calculation (GGA-PBE) of a relaxed structure of BaMg2Zn.

Properties
**Calculated total energy**: -6.418 eV per formula unit
**Space-group type**: No. 216

abc: 5.392 5.392 5.392
angles: 60.00 60.00 60.00
Atoms (fractional coordinates):
Ba  0.500  0.500  0.500
Mg  0.000  0.000  0.000
Mg  0.750  0.750  0.750
Zn  0.250  0.250  0.250



Entry 7:
The following is a DFT calculation (GGA-PBE) of a relaxed structure of YHfTlTe3.

Properties
**Calculated total energy**: -32.750 eV per formula unit
**Space-group type**: No. 63

abc: 8.022 8.022 11.760
angles: 90.00 90.00 149.93
Atoms (fractional coordinates):
Te  0.934  0.066  0.750
Te  0.066  0.934  0.250
Te  0.643  0.357  0.964
Te  0.357  0.643  0.464
Te  0.357  0.643  0.036
Te  0.643  0.357  0.536
Hf  0.563  0.437  0.750
Hf  0.437  0.563  0.250
Tl  0.236  0.764  0.750
Tl  0.764  0.236  0.250
Y  0.000  0.000  0.000
Y  0.000  0.000  0.500



Entry 8:
The following is a DFT calculation (GGA-PBE) of a relaxed structure of In3AsIr.

Properties
**Calculated total energy**: -20.518 eV per formula unit
**Space-group type**: No. 65

abc: 13.562 13.562 4.158
angles: 90.00 90.00 161.71
Atoms (fractional coordinates):
In  0.053  0.947  0.000
In  0.555  0.445  0.500
In  0.947  0.053  0.000
In  0.214  0.786  0.500
In  0.786  0.214  0.500
In  0.445  0.555  0.500
As  0.357  0.643  0.000
As  0.643  0.357  0.000
Ir  0.883  0.117  0.500
Ir  0.117  0.883  0.500



Which of these has the lowest calculated total energy?
Tb2Co17



The highest calculated total energy belongs to which entry?
BaMg2Zn



Which of these has the highest calculated total energy?
BaMg2Zn